This record from the Alexandria database describes ZrGa2Co2 after structural relaxation. The functional is PBE-GGA.

abc: 7.2163 7.2163 2.7253
angles: 90.00 90.00 90.00
Last column: nearest neighbours and their distance in Å.
Fractional coordinates of all 10 atoms:
Ga1 0.1259 0.3741 0.0000  6 Co 2.47-2.57, 3 Ga 2.57-2.73
Ga2 0.8741 0.6259 0.0000  6 Co 2.47-2.57, 3 Ga 2.57-2.73
Ga3 0.6259 0.1259 0.0000  6 Co 2.47-2.57, 3 Ga 2.57-2.73
Ga4 0.3741 0.8741 0.0000  6 Co 2.47-2.57, 3 Ga 2.57-2.73
Co1 0.3280 0.1720 0.5000  6 Ga 2.47-2.57, 2 Co 2.73
Co2 0.8280 0.3280 0.5000  6 Ga 2.47-2.57, 2 Co 2.73
Co3 0.1720 0.6720 0.5000  6 Ga 2.47-2.57, 2 Co 2.73
Co4 0.6720 0.8280 0.5000  6 Ga 2.47-2.57, 2 Co 2.73
Zr1 0.0000 0.0000 0.0000  2 Zr 2.73, 4 Ga 2.85, 8 Co 3.00
Zr2 0.5000 0.5000 0.0000  2 Zr 2.73, 4 Ga 2.85, 8 Co 3.00

Calculated values
**Space group**: P4/mbm (127)
**M_tot**: 0.000 μB per formula unit
**Formation energy**: -294 meV per atom
**DFT total energy**: -30.3 eV per formula unit
**Energy above the most stable polymorph in this dataset**: 31 meV/atom

***

This record from the Alexandria database describes ZrGaCo after structural relaxation. The functional is PBE-GGA.

abc: 3.0573 3.0573 5.4900
angles: 106.17 106.17 90.00
Last column: nearest neighbours and their distance in Å.
Fractional coordinates of all 3 atoms:
Zr1 0.0108 0.0108 0.0215  4 Co 2.76, 5 Ga 2.97-3.00, 4 Zr 3.06
Ga1 0.3083 0.3083 0.6166  4 Co 2.52
Co1 0.6809 0.6809 0.3619  4 Ga 2.52, 4 Zr 2.76

Calculated values
**Space group**: I4mm (107)
**M_tot**: 0.751 μB per formula unit
**Formation energy**: -352 meV per atom
**DFT total energy**: -19.7 eV per formula unit

***

This record from the Alexandria database describes Zr6GaCo after structural relaxation. The functional is PBE-GGA.

abc: 5.4374 6.1756 7.2231
angles: 47.08 68.96 76.62
Last column: nearest neighbours and their distance in Å.
Fractional coordinates of all 8 atoms:
Zr1 0.6776 0.8850 0.8842  1 Co 2.59, 1 Zr 2.86
Zr2 0.2674 0.8091 0.7334  1 Co 2.74, 5 Zr 3.02-3.05
Zr3 0.1154 0.4460 0.3230  1 Co 2.59, 1 Zr 2.86
Zr4 0.7326 0.1909 0.2666  1 Co 2.74, 5 Zr 3.02-3.05
Zr5 0.8846 0.5540 0.6770  1 Co 2.59, 1 Zr 2.86
Zr6 0.3224 0.1150 0.1158  1 Co 2.59, 1 Zr 2.86
Co1 0.0000 0.0000 0.0000  6 Zr 2.59-2.74
Ga1 0.5000 0.5000 0.5000  10 Zr 2.99-3.15

Calculated values
**Space group**: C2/m (12)
**M_tot**: 0.000 μB per formula unit
**Formation energy**: -86 meV per atom
**DFT total energy**: -62.1 eV per formula unit

***

This record from the Alexandria database describes ZrGa6Co6 after structural relaxation. The functional is PBE-GGA.

abc: 6.3744 6.3744 6.3744
angles: 132.84 102.97 95.49
Last column: nearest neighbours and their distance in Å.
Fractional coordinates of all 13 atoms:
Ga1 0.7974 0.5000 0.2974  6 Co 2.51-2.79, 4 Ga 2.52
Ga2 0.2026 0.5000 0.7026  6 Co 2.51-2.79, 4 Ga 2.52
Ga3 0.0000 0.0000 0.5000  6 Co 2.37-2.60, 4 Ga 2.52-2.55
Ga4 0.5000 0.5000 0.5000  6 Co 2.37-2.60, 4 Ga 2.52-2.55
Ga5 0.5000 0.0000 0.0000  6 Co 2.37-2.60, 4 Ga 2.52-2.55
Ga6 0.0000 0.5000 0.0000  6 Co 2.37-2.60, 4 Ga 2.52-2.55
Co1 0.2255 0.7255 0.5000  6 Ga 2.37-2.51
Co2 0.3446 0.0000 0.3446  3 Co 2.47-2.66, 4 Ga 2.60, 1 Zr 2.74
Co3 0.3588 0.3588 0.0000  1 Co 2.42, 6 Ga 2.54-2.65
Co4 0.7745 0.2745 0.5000  6 Ga 2.37-2.51
Co5 0.6412 0.6412 0.0000  1 Co 2.42, 6 Ga 2.54-2.65
Co6 0.6554 0.0000 0.6554  3 Co 2.47-2.66, 4 Ga 2.60, 1 Zr 2.74
Zr1 0.0000 0.0000 0.0000  2 Co 2.74, 4 Ga 3.02

Calculated values
**Space group**: Immm (71)
**M_tot**: 0.996 μB per formula unit
**Formation energy**: -101 meV per atom
**DFT total energy**: -70.7 eV per formula unit
**Energy above the most stable polymorph in this dataset**: 216 meV/atom

***

This record from the Alexandria database describes Zr3Ga3Co after structural relaxation. The functional is PBE-GGA.

abc: 3.9213 5.4313 12.8737
angles: 83.92 81.24 68.84
Last column: nearest neighbours and their distance in Å.
Fractional coordinates of all 14 atoms:
Ga1 0.8596 0.7424 0.5385  3 Co 2.38-2.53
Ga2 0.1158 0.8446 0.9238  2 Ga 2.56, 3 Zr 2.79-2.81
Ga3 0.8842 0.1554 0.0762  2 Ga 2.56, 3 Zr 2.79-2.81
Ga4 0.1404 0.2576 0.4615  3 Co 2.38-2.53
Ga5 0.9808 0.8085 0.2300  1 Co 2.47, 1 Ga 2.56
Ga6 0.0192 0.1915 0.7700  1 Co 2.47, 1 Ga 2.56
Zr1 0.5218 0.3350 0.6214  6 Ga 2.79-3.00, 3 Co 2.89-2.95
Zr2 0.6086 0.7070 0.0758  7 Ga 2.79-3.00
Zr3 0.4782 0.6650 0.3786  6 Ga 2.79-3.00, 3 Co 2.89-2.95
Zr4 0.2621 0.2392 0.2366  2 Co 2.80, 6 Ga 2.87-2.94
Zr5 0.7379 0.7608 0.7634  2 Co 2.80, 6 Ga 2.87-2.94
Zr6 0.3914 0.2930 0.9242  7 Ga 2.79-3.00
Co1 0.2337 0.9175 0.6151  4 Ga 2.38-2.53
Co2 0.7663 0.0825 0.3849  4 Ga 2.38-2.53

Calculated values
**Space group**: C2/m (12)
**M_tot**: 0.000 μB per formula unit
**Formation energy**: -559 meV per atom
**DFT total energy**: -45.7 eV per formula unit

***

This record from the Alexandria database describes ZrGaCo4 after structural relaxation. The functional is PBE-GGA.

abc: 4.7882 4.7882 4.7882
angles: 60.00 60.00 60.00
Last column: nearest neighbours and their distance in Å.
Fractional coordinates of all 6 atoms:
Co1 0.6260 0.6260 0.6260  6 Co 2.38-2.41
Co2 0.6260 0.6260 0.1221  6 Co 2.38-2.41
Co3 0.1221 0.6260 0.6260  6 Co 2.38-2.41
Co4 0.6260 0.1221 0.6260  6 Co 2.38-2.41
Zr1 0.2500 0.2500 0.2500  12 Co 2.81, 4 Ga 2.93
Ga1 0.0000 0.0000 0.0000  12 Co 2.81, 4 Zr 2.93

Calculated values
**Space group**: F-43m (216)
**M_tot**: 2.907 μB per formula unit
**Formation energy**: -264 meV per atom
**DFT total energy**: -41.6 eV per formula unit

***

This record from the Alexandria database describes ZrGaCo after structural relaxation. The functional is PBE-GGA.

abc: 4.7179 6.6786 6.6787
angles: 78.81 77.01 77.01
Last column: nearest neighbours and their distance in Å.
Fractional coordinates of all 12 atoms:
Zr1 0.7819 0.3277 0.0777  4 Co 2.51-2.81
Zr2 0.7819 0.8277 0.5777  4 Co 2.51-2.81
Zr3 0.2181 0.1723 0.4223  4 Co 2.51-2.81
Zr4 0.2181 0.6723 0.9223  4 Co 2.51-2.81
Ga1 0.3551 0.6204 0.3704  4 Co 2.38-2.57, 2 Ga 2.54
Ga2 0.3551 0.1204 0.8704  4 Co 2.38-2.57, 2 Ga 2.54
Ga3 0.6449 0.8796 0.1296  4 Co 2.38-2.57, 2 Ga 2.54
Ga4 0.6449 0.3796 0.6296  4 Co 2.38-2.57, 2 Ga 2.54
Co1 0.9248 0.5439 0.2939  4 Ga 2.38-2.57, 3 Zr 2.51-2.64
Co2 0.9248 0.0439 0.7939  4 Ga 2.38-2.57, 3 Zr 2.51-2.64
Co3 0.0752 0.4561 0.7061  4 Ga 2.38-2.57, 3 Zr 2.51-2.64
Co4 0.0752 0.9561 0.2061  4 Ga 2.38-2.57, 3 Zr 2.51-2.64

Calculated values
**Space group**: P2_1/m (11)
**M_tot**: 0.000 μB per formula unit
**Formation energy**: -333 meV per atom
**DFT total energy**: -19.7 eV per formula unit

***

This record from the Alexandria database describes ZrGa2Co2 after structural relaxation. The functional is PBE-GGA.

abc: 3.9601 3.9601 5.5575
angles: 69.13 69.13 90.00
Last column: nearest neighbours and their distance in Å.
Fractional coordinates of all 5 atoms:
Co1 0.3897 0.3897 0.2207  1 Co 2.12
Co2 0.6103 0.6103 0.7793  1 Co 2.12
Ga1 0.7500 0.2500 0.5000  4 Co 2.39
Ga2 0.2500 0.7500 0.5000  4 Co 2.39
Zr1 0.0000 0.0000 0.0000  8 Co 2.99, 8 Ga 3.11

Calculated values
**Space group**: I4/mmm (139)
**M_tot**: 0.313 μB per formula unit
**Formation energy**: -259 meV per atom
**DFT total energy**: -30.1 eV per formula unit
**Energy above the most stable polymorph in this dataset**: 66 meV/atom

***

This record from the Alexandria database describes Zr6Ga3Co after structural relaxation. The functional is PBE-GGA.

abc: 5.4962 7.7457 9.6073
angles: 90.00 88.05 90.00
Last column: nearest neighbours and their distance in Å.
Fractional coordinates of all 20 atoms:
Ga1 0.0000 0.0000 0.5000  6 Zr 2.68-2.72
Ga2 0.1096 0.6181 0.2421  6 Zr 2.84-2.97
Ga3 0.5000 0.5000 0.0000  6 Zr 2.68-2.72
Ga4 0.8904 0.3819 0.7579  6 Zr 2.84-2.97
Ga5 0.3904 0.1181 0.2579  6 Zr 2.84-2.97
Ga6 0.6096 0.8819 0.7421  6 Zr 2.84-2.97
Co1 0.5000 0.5000 0.5000  6 Zr 2.43-2.59
Co2 0.0000 0.0000 0.0000  6 Zr 2.43-2.59
Zr1 0.1459 0.0439 0.7611  1 Co 2.43, 1 Ga 2.68
Zr2 0.6081 0.1647 0.9386  1 Co 2.59, 3 Ga 2.72-2.89
Zr3 0.1081 0.3353 0.4386  1 Co 2.59, 3 Ga 2.72-2.89
Zr4 0.8541 0.9561 0.2389  1 Co 2.43, 1 Ga 2.68
Zr5 0.9040 0.6861 0.9364  1 Co 2.57, 1 Ga 2.70
Zr6 0.5960 0.1861 0.5636  1 Co 2.57, 1 Ga 2.70
Zr7 0.6459 0.4561 0.2611  1 Co 2.43, 1 Ga 2.68
Zr8 0.3919 0.8353 0.0614  1 Co 2.59, 3 Ga 2.72-2.89
Zr9 0.4040 0.8139 0.4364  1 Co 2.57, 1 Ga 2.70
Zr10 0.8919 0.6647 0.5614  1 Co 2.59, 3 Ga 2.72-2.89
Zr11 0.0960 0.3139 0.0636  1 Co 2.57, 1 Ga 2.70
Zr12 0.3541 0.5439 0.7389  1 Co 2.43, 1 Ga 2.68

Calculated values
**Space group**: P2_1/c (14)
**M_tot**: 0.000 μB per formula unit
**Formation energy**: -298 meV per atom
**DFT total energy**: -70.5 eV per formula unit

***

This record from the Alexandria database describes ZrGaCo after structural relaxation. The functional is PBE-GGA.

abc: 3.1703 4.1904 4.1904
angles: 120.00 90.00 90.00
Last column: nearest neighbours and their distance in Å.
Fractional coordinates of all 3 atoms:
Ga1 0.1665 0.3333 0.6667  3 Co 2.42
Zr1 0.6665 0.6667 0.3333  6 Co 2.89, 6 Ga 2.89, 2 Zr 3.17
Co1 0.1670 0.0000 0.0000  3 Ga 2.42

Calculated values
**Space group**: P-6m2 (187)
**M_tot**: 0.361 μB per formula unit
**Formation energy**: -426 meV per atom
**DFT total energy**: -20.0 eV per formula unit

***

This record from the Alexandria database describes ZrGaCo3 after structural relaxation. The functional is PBE-GGA.

abc: 4.4463 7.4098 7.4098
angles: 129.92 90.00 90.00
Last column: nearest neighbours and their distance in Å.
Fractional coordinates of all 10 atoms:
Ga1 0.7500 0.8338 0.1662  4 Co 2.49
Ga2 0.2500 0.1662 0.8338  4 Co 2.49
Zr1 0.7500 0.6173 0.3827  6 Co 2.55-2.66
Zr2 0.2500 0.3827 0.6173  6 Co 2.55-2.66
Co1 0.0000 0.0000 0.0000  6 Co 2.22-2.36
Co2 0.2500 0.3649 0.2614  5 Co 2.34-2.62, 1 Ga 2.49, 1 Zr 2.55
Co3 0.5000 0.0000 0.0000  6 Co 2.22-2.36
Co4 0.7500 0.6351 0.7386  5 Co 2.34-2.62, 1 Ga 2.49, 1 Zr 2.55
Co5 0.7500 0.2614 0.3649  5 Co 2.34-2.62, 1 Ga 2.49, 1 Zr 2.55
Co6 0.2500 0.7386 0.6351  5 Co 2.34-2.62, 1 Ga 2.49, 1 Zr 2.55

Calculated values
**Space group**: Cmcm (63)
**M_tot**: 2.428 μB per formula unit
**Formation energy**: 283 meV per atom
**DFT total energy**: -31.5 eV per formula unit
**Energy above the most stable polymorph in this dataset**: 0 meV/atom